1.
This record from the Alexandria database describes a geometry-optimized GaHg2PC structure. The functional is PBE.

Cell: 5.3277 5.3277 4.6606 Å, 90.00 90.00 90.00°
With the nearest neighbours (Å) after each atom.
Fractional coordinates of all 5 atoms:
Ga  0.0000  0.0000  0.0000  2 P 2.33
Hg  0.0000  0.5000  0.0000  2 Ga 2.66
Hg  0.5000  0.0000  0.0000  2 Ga 2.66
P  0.0000  0.0000  0.5000  2 Ga 2.33
C  0.5000  0.5000  0.5000  8 Hg 3.54, 4 P 3.77

**Formation energy from the elements**: 166.6 kJ per mole of atoms
**Space-group type**: P4/mmm
**Magnetic moment**: 1.98 μB per formula unit
**Fermi-level density of states**: 0.5885 states/eV per atom

2.
This record from the Alexandria database describes a geometry-optimized GaHgPdC2 structure. The functional is PBE.

Cell: 3.9441 3.9441 6.3236 Å, 90.00 90.00 90.00°
With the nearest neighbours (Å) after each atom.
Fractional coordinates of all 5 atoms:
Ga  0.0000  0.0000  0.0000  4 Hg 2.79
Hg  0.5000  0.5000  0.0000  4 Ga 2.79
Pd  0.5000  0.5000  0.5000  4 C 1.97
C  0.0000  0.5000  0.5000  2 Pd 1.97
C  0.5000  0.0000  0.5000  2 Pd 1.97

**Formation energy from the elements**: 163.1 kJ per mole of atoms
**Space-group type**: P4/mmm
**Magnetic moment**: 0.94 μB per formula unit
**Fermi-level density of states**: 0.2421 states/eV per atom